[1]
PrGe2PRu2 | PBE | relaxed

Output
The mass density is 7666 kg/m³. The calculation puts the calculated formation energy at -2.30 eV/f.u. The space group is P4/mmm, No. 123. The density of states at the Fermi level comes out at 5.0 states/eV per cell.

Cell: 4.466 4.466 5.638 Å, 90.00 90.00 90.00°
Last column: magnetic moment on the atom in μB.
Fractional positions:
Pr  0.000  0.000  0.500  0.00
Ge  0.500  0.500  0.725  0.01
Ge  0.500  0.500  0.275  0.01
P  0.000  0.000  0.000  0.00
Ru  0.500  0.000  0.000  0.40
Ru  0.000  0.500  0.000  0.40



[2]
TiBiPd2Ru | PBE | relaxed

Output
The mass density is 8658 kg/m³. The calculation puts the calculated formation energy at 2.66 eV/f.u. The space group is P4/mmm, No. 123. The density of states at the Fermi level comes out at 5.6 states/eV per cell.

Cell: 4.978 4.978 4.418 Å, 90.00 90.00 90.00°
Fractional positions:
Ru  0.000  0.000  0.000
Bi  0.500  0.500  0.500
Pd  0.000  0.500  0.000
Pd  0.500  0.000  0.000
Ti  0.000  0.000  0.500



[3]
Sm3Tl2Ag | PBE | relaxed

Output
The mass density is 9594 kg/m³. The calculation puts the calculated formation energy at -2.00 eV/f.u. As for the polymorph energy (0 for the lowest one): 0.000 eV per atom. The space group is P-3m1, No. 164. The density of states at the Fermi level comes out at 13.5 states/eV per cell.

Cell: 5.396 5.396 13.284 Å, 90.00 90.00 120.00°
Last column: magnetic moment on the atom in μB.
Fractional positions:
Sm  0.333  0.667  0.417  0.15
Sm  0.667  0.333  0.089  0.11
Sm  0.000  0.000  0.745  0.16
Sm  0.000  0.000  0.255  0.16
Sm  0.333  0.667  0.911  0.11
Sm  0.667  0.333  0.583  0.15
Tl  0.000  0.000  0.500  0.00
Tl  0.333  0.667  0.170  0.00
Tl  0.667  0.333  0.830  0.00
Tl  0.000  0.000  0.000  0.01
Ag  0.333  0.667  0.665  0.02
Ag  0.667  0.333  0.335  0.02



[4]
K2SnBiSe4 | PBE | relaxed

Output
The mass density is 4813 kg/m³. As for the energy relative to the elements, uncorrected: -0.67 eV per atom. The space group is I-42m, No. 121. The density of states at the Fermi level comes out at 4.2 states/eV per cell.

Cell: 7.402 6.880 6.880 Å, 73.18 57.46 57.46°
Fractional positions:
K  0.000  0.500  0.500
K  0.500  0.500  0.500
Sn  0.500  0.000  0.000
Bi  0.000  0.000  0.000
Se  0.078  0.366  0.000
Se  0.922  0.000  0.634
Se  0.556  0.000  0.366
Se  0.444  0.634  0.000



[5]
SrZrPd2 | PBE | relaxed

Output
The mass density is 6537 kg/m³. The calculation puts the calculated formation energy at -0.58 eV/f.u. The space group is I-42d, No. 122. The density of states at the Fermi level comes out at 4.6 states/eV per cell.

Cell: 7.668 7.668 6.392 Å, 53.14 53.14 90.00°
Fractional positions:
Sr  0.500  0.500  0.000
Sr  0.250  0.750  0.500
Zr  0.000  0.000  0.000
Zr  0.750  0.250  0.500
Pd  0.670  0.125  0.250
Pd  0.080  0.625  0.250
Pd  0.375  0.330  0.750
Pd  0.875  0.920  0.750



[6]
V2In2Pd | PBE | relaxed

Output
The mass density is 7994 kg/m³. The calculation puts the calculated formation energy at 1.05 eV/f.u. The space group is P4/mbm, No. 127. The density of states at the Fermi level comes out at 8.4 states/eV per cell.

Cell: 7.355 7.355 3.364 Å, 90.00 90.00 90.00°
Fractional positions:
In  0.203  0.703  0.500
In  0.703  0.797  0.500
In  0.797  0.297  0.500
In  0.297  0.203  0.500
Pd  0.000  0.000  0.000
Pd  0.500  0.500  0.000
V  0.407  0.907  0.000
V  0.907  0.593  0.000
V  0.593  0.093  0.000
V  0.093  0.407  0.000



[7]
ZrPRu2 | PBE | relaxed

Output
The mass density is 8035 kg/m³. The calculation puts the calculated formation energy at -1.24 eV/f.u. The space group is I-42d, No. 122. The density of states at the Fermi level comes out at 6.3 states/eV per cell.

Cell: 7.030 7.030 5.663 Å, 51.63 51.63 90.00°
Fractional positions:
Ru  0.543  0.125  0.250
Ru  0.207  0.625  0.250
Ru  0.375  0.457  0.750
Ru  0.875  0.793  0.750
Zr  0.000  0.000  0.000
Zr  0.750  0.250  0.500
P  0.500  0.500  0.000
P  0.250  0.750  0.500



[8]
CaTlCd2Cu | PBE | relaxed

Output
The mass density is 6717 kg/m³. The calculation puts the calculated formation energy at -0.07 eV/f.u. The space group is P4/mmm, No. 123. The density of states at the Fermi level comes out at 2.2 states/eV per cell.

Cell: 5.052 5.052 5.160 Å, 90.00 90.00 90.00°
Fractional positions:
Tl  0.000  0.000  0.500
Ca  0.500  0.500  0.500
Cu  0.000  0.000  0.000
Cd  0.000  0.500  0.000
Cd  0.500  0.000  0.000